The following is a DFT calculation (PBE) of In2C after structural relaxation.

## Properties
Uncorrected energy = -8.9 eV/cell
ρ = 6.26 g cm⁻³
V = 21.4 A^3/atom

Cell lengths 4.9554, 4.9554, 3.0135 Å; angles 90.00, 90.00, 120.00 degrees
Space group P6/mmm (No. 191)
Inequivalent atoms, fractional coordinates:
In 0.3333 0.6667 0.0000
C 0.0000 0.0000 0.5000